# ZrP3

A relaxed structure of ZrP3 (PBE, the Alexandria database).

Unit cell a=3.608 b=5.245 c=7.136 alpha=90.00 beta=90.00 gamma=90.00
Space group Cmmm (No. 65)
One atom of each set of equivalent atoms:
1 Zr 0.000 0.000 0.000 [2 per cell]
2 P 0.000 0.000 0.500 [2 per cell]
3 P 0.000 0.500 0.262 [4 per cell]

Computed properties:
theoretical density = 4528 kg/m³
formation energy = -0.03 eV/atom
calculated volume = 135 Å³/cell